The following is a GGA+U calculation of a relaxed BaFeNF2 crystal, from the Alexandria database.

Unit cell a=4.9591 b=4.9591 c=5.4921 alpha=90.00 beta=90.00 gamma=90.00
Last column: nearest neighbours and their distance in Å.
Atoms (fractional coordinates):
N  0.0000  0.0000  0.5000  2 Ba 2.75
F  0.0000  0.5000  0.0000  2 Ba 2.48
F  0.5000  0.0000  0.0000  2 Ba 2.48
Ba  0.0000  0.0000  0.0000  4 F 2.48, 2 N 2.75
Fe  0.5000  0.5000  0.5000  4 N 3.51, 8 F 3.70

energy	-4.51	eV/atom
magnetization	2.71	μB per formula unit